A geometry-optimized BeTcSb2 structure. Source: Alexandria, functional PBE.

Unit cell a=5.3589 b=5.3589 c=5.3589 alpha=136.10 beta=136.10 gamma=63.83
Fractional positions:
Tc 0.5000 0.5000 0.0000
Sb 0.2500 0.7500 0.5000
Sb 0.0000 0.0000 0.0000
Be 0.7500 0.2500 0.5000

Values from the calculation:
* SG: I-4m2 (119)
* size of the total moment: 0.00 Bohr magnetons per cell
* D(E_F): 1.16 states/eV/atom
* total energy: -19.69 eV/f.u.